The following is a PBE-GGA calculation of a geometry-optimized TaCd2 structure, from the Alexandria database.

Output
* D(E_F): 4.9 states/eV per cell
* energy of formation: 228 meV per atom

Cell lengths 2.936, 16.354, 4.992 Å; angles 90.00, 90.00, 90.00 degrees
Space group Cmcm (No. 63)
Unique sites:
Ta1 0.000 0.042 0.250
Cd1 0.000 0.289 0.750
Cd2 0.000 0.383 0.250